one.
This record from Alexandria describes YHfIO2 after structural relaxation. The functional is PBE.

a = 4.3501 Å, b = 4.3501 Å, c = 5.8816 Å
α = 90.00°, β = 90.00°, γ = 90.00°
Sites, in units of the cell vectors:
Y 0.0000 0.0000 0.0000
Hf 0.5000 0.5000 0.5000
I 0.0000 0.0000 0.5000
O 0.0000 0.5000 0.0000
O 0.5000 0.0000 0.0000

- N(E_F) (states/eV/cell) = 3.4
- SG = P4/mmm (123)
- total magnetic moment (μB per formula unit) = 0.5

two.
This record from Alexandria describes YHfIO2 after structural relaxation. The functional is PBE.

a = 4.1513 Å, b = 4.1513 Å, c = 6.5147 Å
α = 90.00°, β = 90.00°, γ = 90.00°
Sites, in units of the cell vectors:
Y 0.0000 0.0000 0.0000
Hf 0.0000 0.0000 0.5000
I 0.5000 0.5000 0.0000
O 0.0000 0.5000 0.5000
O 0.5000 0.0000 0.5000

- N(E_F) (states/eV/cell) = 2.0
- SG = P4/mmm (123)
- total magnetic moment (μB per formula unit) = 0.0

three.
This record from Alexandria describes YHfIO2 after structural relaxation. The functional is PBE.

a = 4.1446 Å, b = 4.1446 Å, c = 6.0623 Å
α = 90.00°, β = 90.00°, γ = 90.00°
Sites, in units of the cell vectors:
Y 0.0000 0.0000 0.0000
Hf 0.5000 0.5000 0.5000
I 0.5000 0.5000 0.0000
O 0.0000 0.5000 0.5000
O 0.5000 0.0000 0.5000

- N(E_F) (states/eV/cell) = 3.3
- SG = P4/mmm (123)
- total magnetic moment (μB per formula unit) = 0.0

Most stable: two (next structure +0.037 eV/atom)

one.
This record from Alexandria describes YHfI2O after structural relaxation. The functional is PBE.

a = 5.9373 Å, b = 5.9373 Å, c = 3.9211 Å
α = 90.00°, β = 90.00°, γ = 90.00°
Sites, in units of the cell vectors:
Y 0.0000 0.0000 0.0000
Hf 0.5000 0.5000 0.5000
I 0.0000 0.5000 0.5000
I 0.5000 0.0000 0.5000
O 0.5000 0.5000 0.0000

- N(E_F) (states/eV/cell) = 5.4
- SG = P4/mmm (123)
- total magnetic moment (μB per formula unit) = 0.6

two.
This record from Alexandria describes YHfI2O after structural relaxation. The functional is PBE.

a = 6.1720 Å, b = 6.1720 Å, c = 4.1048 Å
α = 90.00°, β = 90.00°, γ = 90.00°
Sites, in units of the cell vectors:
Y 0.0000 0.0000 0.0000
Hf 0.5000 0.5000 0.5000
I 0.0000 0.5000 0.0000
I 0.5000 0.0000 0.0000
O 0.0000 0.0000 0.5000

- N(E_F) (states/eV/cell) = 5.5
- SG = P4/mmm (123)
- total magnetic moment (μB per formula unit) = 1.9

Most stable: one (next structure +0.359 eV/atom)

one.
This record from Alexandria describes HfZrIO2 after structural relaxation. The functional is PBE.

a = 4.1284 Å, b = 4.1284 Å, c = 6.2076 Å
α = 90.00°, β = 90.00°, γ = 90.00°
Sites, in units of the cell vectors:
Hf 0.0000 0.0000 0.0000
Zr 0.5000 0.5000 0.5000
I 0.5000 0.5000 0.0000
O 0.0000 0.5000 0.5000
O 0.5000 0.0000 0.5000

- N(E_F) (states/eV/cell) = 4.5
- SG = P4/mmm (123)
- total magnetic moment (μB per formula unit) = 1.7

two.
This record from Alexandria describes HfZrIO2 after structural relaxation. The functional is PBE.

a = 4.0940 Å, b = 4.0940 Å, c = 6.0582 Å
α = 90.00°, β = 90.00°, γ = 90.00°
Sites, in units of the cell vectors:
Hf 0.0000 0.0000 0.0000
Zr 0.5000 0.5000 0.5000
I 0.0000 0.0000 0.5000
O 0.0000 0.5000 0.0000
O 0.5000 0.0000 0.0000

- N(E_F) (states/eV/cell) = 3.3
- SG = P4/mmm (123)
- total magnetic moment (μB per formula unit) = 1.8

Most stable: two (next structure +0.298 eV/atom)

one.
This record from Alexandria describes HfZrI2O after structural relaxation. The functional is PBE.

a = 5.8917 Å, b = 5.8917 Å, c = 3.9493 Å
α = 90.00°, β = 90.00°, γ = 90.00°
Sites, in units of the cell vectors:
Hf 0.0000 0.0000 0.0000
Zr 0.5000 0.5000 0.5000
I 0.0000 0.5000 0.5000
I 0.5000 0.0000 0.5000
O 0.5000 0.5000 0.0000

- N(E_F) (states/eV/cell) = 4.6
- SG = P4/mmm (123)
- total magnetic moment (μB per formula unit) = 1.5

two.
This record from Alexandria describes HfZrI2O after structural relaxation. The functional is PBE.

a = 5.8344 Å, b = 5.8344 Å, c = 3.8988 Å
α = 90.00°, β = 90.00°, γ = 90.00°
Sites, in units of the cell vectors:
Hf 0.0000 0.0000 0.0000
Zr 0.5000 0.5000 0.5000
I 0.0000 0.5000 0.0000
I 0.5000 0.0000 0.0000
O 0.0000 0.0000 0.5000

- N(E_F) (states/eV/cell) = 4.4
- SG = P4/mmm (123)
- total magnetic moment (μB per formula unit) = 2.2

Most stable: two (next structure +0.162 eV/atom)

one.
This record from Alexandria describes HfOs3I after structural relaxation. The functional is PBE.

a = 4.7667 Å, b = 4.7667 Å, c = 4.7667 Å
α = 90.00°, β = 90.00°, γ = 90.00°
Sites, in units of the cell vectors:
Hf 0.0000 0.0000 0.0000
Os 0.0000 0.5000 0.5000
Os 0.5000 0.0000 0.5000
Os 0.5000 0.5000 0.0000
I 0.5000 0.5000 0.5000

- N(E_F) (states/eV/cell) = 6.4
- SG = Pm-3m (221)
- total magnetic moment (μB per formula unit) = 0.0

two.
This record from Alexandria describes HfOs3I after structural relaxation. The functional is PBE.

a = 4.9444 Å, b = 4.9444 Å, c = 4.9444 Å
α = 90.00°, β = 90.00°, γ = 90.00°
Sites, in units of the cell vectors:
Hf 0.0000 0.0000 0.0000
Os 0.0000 0.0000 0.5000
Os 0.0000 0.5000 0.0000
Os 0.5000 0.0000 0.0000
I 0.5000 0.5000 0.5000

- N(E_F) (states/eV/cell) = 6.2
- SG = Pm-3m (221)
- total magnetic moment (μB per formula unit) = 5.0

Most stable: one (next structure +0.195 eV/atom)

one.
This record from Alexandria describes HfOsI2 after structural relaxation. The functional is PBE.

a = 7.3446 Å, b = 7.3446 Å, c = 7.3446 Å
α = 128.80°, β = 128.80°, γ = 75.33°
Sites, in units of the cell vectors:
Hf 0.0000 0.0000 0.0000
Hf 0.7500 0.2500 0.5000
Os 0.2500 0.7500 0.5000
Os 0.5000 0.5000 0.0000
I 0.1547 0.6250 0.0297
I 0.3750 0.4047 0.5297
I 0.5953 0.1250 0.9703
I 0.8750 0.8453 0.4703

- N(E_F) (states/eV/cell) = 8.5
- SG = I-42d (122)
- total magnetic moment (μB per formula unit) = 0.0

two.
This record from Alexandria describes HfOsI2 after structural relaxation. The functional is PBE.

a = 4.9120 Å, b = 4.9120 Å, c = 4.9120 Å
α = 60.00°, β = 60.00°, γ = 60.00°
Sites, in units of the cell vectors:
Hf 0.0000 0.0000 0.0000
Os 0.5000 0.5000 0.5000
I 0.2500 0.2500 0.2500
I 0.7500 0.7500 0.7500

- N(E_F) (states/eV/cell) = 2.9
- SG = Fm-3m (225)
- total magnetic moment (μB per formula unit) = 0.0

Most stable: two (next structure +0.232 eV/atom)

one.
This record from Alexandria describes Hf2OsI after structural relaxation. The functional is PBE.

a = 7.9196 Å, b = 7.9196 Å, c = 7.9196 Å
α = 134.34°, β = 134.34°, γ = 66.55°
Sites, in units of the cell vectors:
Hf 0.0453 0.6250 0.9203
Hf 0.3750 0.2953 0.4203
Hf 0.7047 0.1250 0.0797
Hf 0.8750 0.9547 0.5797
Os 0.0000 0.0000 0.0000
Os 0.7500 0.2500 0.5000
I 0.2500 0.7500 0.5000
I 0.5000 0.5000 0.0000

- N(E_F) (states/eV/cell) = 0.8
- SG = I-42d (122)
- total magnetic moment (μB per formula unit) = 0.0

two.
This record from Alexandria describes Hf2OsI after structural relaxation. The functional is PBE.

a = 4.8505 Å, b = 4.8505 Å, c = 4.8505 Å
α = 60.00°, β = 60.00°, γ = 60.00°
Sites, in units of the cell vectors:
Hf 0.2500 0.2500 0.2500
Hf 0.7500 0.7500 0.7500
Os 0.0000 0.0000 0.0000
I 0.5000 0.5000 0.5000

- N(E_F) (states/eV/cell) = 3.9
- SG = Fm-3m (225)
- total magnetic moment (μB per formula unit) = 0.0

Most stable: two (next structure +0.240 eV/atom)

one.
This record from Alexandria describes HfP2I after structural relaxation. The functional is PBE.

a = 7.7939 Å, b = 7.7939 Å, c = 7.7939 Å
α = 132.48°, β = 132.48°, γ = 69.47°
Sites, in units of the cell vectors:
Hf 0.0000 0.0000 0.0000
Hf 0.7500 0.2500 0.5000
P 0.0453 0.6250 0.9203
P 0.3750 0.2953 0.4203
P 0.7047 0.1250 0.0797
P 0.8750 0.9547 0.5797
I 0.2500 0.7500 0.5000
I 0.5000 0.5000 0.0000

- N(E_F) (states/eV/cell) = 7.6
- SG = I-42d (122)
- total magnetic moment (μB per formula unit) = 0.0

two.
This record from Alexandria describes HfP2I after structural relaxation. The functional is PBE.

a = 4.7928 Å, b = 4.7928 Å, c = 4.7928 Å
α = 60.00°, β = 60.00°, γ = 60.00°
Sites, in units of the cell vectors:
Hf 0.0000 0.0000 0.0000
P 0.2500 0.2500 0.2500
P 0.7500 0.7500 0.7500
I 0.5000 0.5000 0.5000

- N(E_F) (states/eV/cell) = 4.3
- SG = Fm-3m (225)
- total magnetic moment (μB per formula unit) = 0.0

Most stable: one (next structure +0.165 eV/atom)

one.
This record from Alexandria describes HfPI2 after structural relaxation. The functional is PBE.

a = 7.9240 Å, b = 7.9240 Å, c = 7.9240 Å
α = 95.70°, β = 95.70°, γ = 143.28°
Sites, in units of the cell vectors:
Hf 0.0000 0.0000 0.0000
Hf 0.7500 0.2500 0.5000
P 0.2500 0.7500 0.5000
P 0.5000 0.5000 0.0000
I 0.3750 0.2211 0.3461
I 0.7789 0.1250 0.1539
I 0.8750 0.0289 0.6539
I 0.9711 0.6250 0.8461

- N(E_F) (states/eV/cell) = 10.7
- SG = I-42d (122)
- total magnetic moment (μB per formula unit) = 0.0

two.
This record from Alexandria describes HfPI2 after structural relaxation. The functional is PBE.

a = 5.0802 Å, b = 5.0802 Å, c = 5.0802 Å
α = 60.00°, β = 60.00°, γ = 60.00°
Sites, in units of the cell vectors:
Hf 0.0000 0.0000 0.0000
P 0.5000 0.5000 0.5000
I 0.2500 0.2500 0.2500
I 0.7500 0.7500 0.7500

- N(E_F) (states/eV/cell) = 3.7
- SG = Fm-3m (225)
- total magnetic moment (μB per formula unit) = 0.0

Most stable: one (next structure +0.610 eV/atom)

one.
This record from Alexandria describes HfP2I2 after structural relaxation. The functional is PBE.

a = 6.7713 Å, b = 6.7713 Å, c = 5.3114 Å
α = 90.00°, β = 90.00°, γ = 90.00°
Sites, in units of the cell vectors:
Hf 0.0000 0.0000 0.0000
Hf 0.5000 0.5000 0.0000
P 0.1112 0.3888 0.0000
P 0.3888 0.8888 0.0000
P 0.6112 0.1112 0.0000
P 0.8888 0.6112 0.0000
I 0.1951 0.6951 0.5000
I 0.3049 0.1951 0.5000
I 0.6951 0.8049 0.5000
I 0.8049 0.3049 0.5000

- N(E_F) (states/eV/cell) = 1.8
- SG = P4/mbm (127)
- total magnetic moment (μB per formula unit) = 0.0

two.
This record from Alexandria describes HfP2I2 after structural relaxation. The functional is PBE.

a = 5.5809 Å, b = 5.5809 Å, c = 5.5809 Å
α = 114.07°, β = 114.07°, γ = 100.61°
Sites, in units of the cell vectors:
Hf 0.0000 0.0000 0.0000
P 0.3629 0.3629 0.0000
P 0.6371 0.6371 0.0000
I 0.2500 0.7500 0.5000
I 0.7500 0.2500 0.5000

- N(E_F) (states/eV/cell) = 3.1
- SG = I4/mmm (139)
- total magnetic moment (μB per formula unit) = 0.6

Most stable: one (next structure +0.317 eV/atom)

one.
This record from Alexandria describes HfPb3I after structural relaxation. The functional is PBE.

a = 5.8457 Å, b = 5.8457 Å, c = 5.8457 Å
α = 90.00°, β = 90.00°, γ = 90.00°
Sites, in units of the cell vectors:
Hf 0.0000 0.0000 0.0000
Pb 0.0000 0.5000 0.5000
Pb 0.5000 0.0000 0.5000
Pb 0.5000 0.5000 0.0000
I 0.5000 0.5000 0.5000

- N(E_F) (states/eV/cell) = 5.8
- SG = Pm-3m (221)
- total magnetic moment (μB per formula unit) = 0.0

two.
This record from Alexandria describes HfPb3I after structural relaxation. The functional is PBE.

a = 5.7466 Å, b = 5.7466 Å, c = 5.7466 Å
α = 90.00°, β = 90.00°, γ = 90.00°
Sites, in units of the cell vectors:
Hf 0.0000 0.0000 0.0000
Pb 0.0000 0.0000 0.5000
Pb 0.0000 0.5000 0.0000
Pb 0.5000 0.0000 0.0000
I 0.5000 0.5000 0.5000

- N(E_F) (states/eV/cell) = 6.7
- SG = Pm-3m (221)
- total magnetic moment (μB per formula unit) = 0.0

Most stable: two (next structure +0.925 eV/atom)

one.
This record from Alexandria describes Hf2PbI after structural relaxation. The functional is PBE.

a = 7.9438 Å, b = 7.9438 Å, c = 7.9438 Å
α = 131.33°, β = 131.33°, γ = 71.29°
Sites, in units of the cell vectors:
Hf 0.1204 0.6250 0.9954
Hf 0.3750 0.3704 0.4954
Hf 0.6296 0.1250 0.0046
Hf 0.8750 0.8796 0.5046
Pb 0.0000 0.0000 0.0000
Pb 0.7500 0.2500 0.5000
I 0.2500 0.7500 0.5000
I 0.5000 0.5000 0.0000

- N(E_F) (states/eV/cell) = 11.8
- SG = I-42d (122)
- total magnetic moment (μB per formula unit) = 0.0

two.
This record from Alexandria describes Hf2PbI after structural relaxation. The functional is PBE.

a = 5.0930 Å, b = 5.0930 Å, c = 5.0930 Å
α = 60.00°, β = 60.00°, γ = 60.00°
Sites, in units of the cell vectors:
Hf 0.2500 0.2500 0.2500
Hf 0.7500 0.7500 0.7500
Pb 0.0000 0.0000 0.0000
I 0.5000 0.5000 0.5000

- N(E_F) (states/eV/cell) = 3.9
- SG = Fm-3m (225)
- total magnetic moment (μB per formula unit) = 0.0

Most stable: two (next structure +0.760 eV/atom)

one.
This record from Alexandria describes HfPbI6 after structural relaxation. The functional is PBE.

a = 8.1314 Å, b = 8.1314 Å, c = 8.1314 Å
α = 55.67°, β = 55.67°, γ = 55.67°
Sites, in units of the cell vectors:
Hf 0.0000 0.0000 0.0000
Pb 0.5000 0.5000 0.5000
I 0.0597 0.7782 0.3980
I 0.2218 0.6020 0.9403
I 0.3980 0.0597 0.7782
I 0.6020 0.9403 0.2218
I 0.7782 0.3980 0.0597
I 0.9403 0.2218 0.6020

- N(E_F) (states/eV/cell) = 0.0
- SG = R-3 (148)
- total magnetic moment (μB per formula unit) = 0.0

two.
This record from Alexandria describes HfPbI6 after structural relaxation. The functional is PBE.

a = 7.8814 Å, b = 7.8814 Å, c = 7.5618 Å
α = 98.37°, β = 98.37°, γ = 122.53°
Sites, in units of the cell vectors:
Hf 0.0000 0.0000 0.0000
Pb 0.5000 0.5000 0.5000
I 0.0731 0.3715 0.2242
I 0.2334 0.2334 0.7688
I 0.3715 0.0731 0.2242
I 0.6285 0.9269 0.7758
I 0.7666 0.7666 0.2312
I 0.9269 0.6285 0.7758

- N(E_F) (states/eV/cell) = 0.0
- SG = C2/m (12)
- total magnetic moment (μB per formula unit) = 0.0

Most stable: two (next structure +0.010 eV/atom)